1.
Material: Y2HgP
Method: DFT, PBE-GGA
State: relaxed

Properties
* crystal system: orthorhombic
* DFT formation energy: -835 meV per atom
* E: -5.4945 eV per atom

Geometry as CIF:
```
data_Y2HgP
_symmetry_space_group_name_H-M 'P 1'
_symmetry_Int_Tables_number 1
_symmetry_space_group_name_Hall 'P 1'
_cell_length_a 4.069
_cell_length_b 5.938
_cell_length_c 5.938
_cell_angle_alpha 41.83
_cell_angle_beta 90.00
_cell_angle_gamma 90.00
loop_
_atom_site_label
_atom_site_fract_x
_atom_site_fract_y
_atom_site_fract_z
_atom_site_occupancy
Y1 0.000 0.000 0.000 1
Y2 0.500 0.285 0.285 1
Hg1 0.500 0.562 0.562 1
P1 0.000 0.745 0.745 1
```

=====

2.
Material: YHgP
Method: DFT, PBE-GGA
State: relaxed

Properties
* crystal system: tetragonal
* DFT formation energy: -692 meV per atom
* E: -4.7506 eV per atom

Geometry as CIF:
```
data_YHgP
_symmetry_space_group_name_H-M 'P 1'
_symmetry_Int_Tables_number 1
_symmetry_space_group_name_Hall 'P 1'
_cell_length_a 6.765
_cell_length_b 6.765
_cell_length_c 6.765
_cell_angle_alpha 146.70
_cell_angle_beta 146.70
_cell_angle_gamma 47.81
loop_
_atom_site_label
_atom_site_fract_x
_atom_site_fract_y
_atom_site_fract_z
_atom_site_occupancy
Y1 0.000 0.000 0.000 1
Hg1 0.755 0.755 0.000 1
P1 0.530 0.530 0.000 1
```

=====

3.
Material: Y2HgP
Method: DFT, PBE-GGA
State: relaxed

Properties
* crystal system: trigonal
* DFT formation energy: -1019 meV per atom
* E: -5.6793 eV per atom

Geometry as CIF:
```
data_Y2HgP
_symmetry_space_group_name_H-M 'P 1'
_symmetry_Int_Tables_number 1
_symmetry_space_group_name_Hall 'P 1'
_cell_length_a 8.036
_cell_length_b 8.036
_cell_length_c 8.036
_cell_angle_alpha 28.25
_cell_angle_beta 28.25
_cell_angle_gamma 28.25
loop_
_atom_site_label
_atom_site_fract_x
_atom_site_fract_y
_atom_site_fract_z
_atom_site_occupancy
Y1 0.236 0.236 0.236 1
Y2 0.764 0.764 0.764 1
Hg1 0.000 0.000 0.000 1
P1 0.500 0.500 0.500 1
```

=====

4.
Material: YHgP2
Method: DFT, PBE-GGA
State: relaxed

Properties
* crystal system: tetragonal
* DFT formation energy: -471 meV per atom
* E: -4.8679 eV per atom

Geometry as CIF:
```
data_YHgP2
_symmetry_space_group_name_H-M 'P 1'
_symmetry_Int_Tables_number 1
_symmetry_space_group_name_Hall 'P 1'
_cell_length_a 3.983
_cell_length_b 3.983
_cell_length_c 5.653
_cell_angle_alpha 90.00
_cell_angle_beta 90.00
_cell_angle_gamma 90.00
loop_
_atom_site_label
_atom_site_fract_x
_atom_site_fract_y
_atom_site_fract_z
_atom_site_occupancy
Y1 0.000 0.000 0.000 1
Hg1 0.500 0.500 0.498 1
P1 0.000 0.000 0.500 1
P2 0.500 0.500 0.998 1
```

=====

5.
Material: YHg3P
Method: DFT, PBE-GGA
State: relaxed

Properties
* crystal system: cubic
* DFT formation energy: 280 meV per atom
* E: -2.2758 eV per atom

Geometry as CIF:
```
data_YHg3P
_symmetry_space_group_name_H-M 'P 1'
_symmetry_Int_Tables_number 1
_symmetry_space_group_name_Hall 'P 1'
_cell_length_a 5.085
_cell_length_b 5.085
_cell_length_c 5.085
_cell_angle_alpha 90.00
_cell_angle_beta 90.00
_cell_angle_gamma 90.00
loop_
_atom_site_label
_atom_site_fract_x
_atom_site_fract_y
_atom_site_fract_z
_atom_site_occupancy
Y1 0.000 0.000 0.000 1
Hg1 0.000 0.500 0.500 1
Hg2 0.500 0.000 0.500 1
Hg3 0.500 0.500 0.000 1
P1 0.500 0.500 0.500 1
```

=====

6.
Material: Y2HgP
Method: DFT, PBE-GGA
State: relaxed

Properties
* crystal system: cubic
* DFT formation energy: 68 meV per atom
* E: -4.5920 eV per atom

Geometry as CIF:
```
data_Y2HgP
_symmetry_space_group_name_H-M 'P 1'
_symmetry_Int_Tables_number 1
_symmetry_space_group_name_Hall 'P 1'
_cell_length_a 5.121
_cell_length_b 5.121
_cell_length_c 5.121
_cell_angle_alpha 60.00
_cell_angle_beta 60.00
_cell_angle_gamma 60.00
loop_
_atom_site_label
_atom_site_fract_x
_atom_site_fract_y
_atom_site_fract_z
_atom_site_occupancy
Y1 0.000 0.000 0.000 1
Y2 0.250 0.250 0.250 1
Hg1 0.500 0.500 0.500 1
P1 0.750 0.750 0.750 1
```

=====

7.
Material: YHgP2
Method: DFT, PBE-GGA
State: relaxed

Properties
* crystal system: orthorhombic
* DFT formation energy: -264 meV per atom
* E: -4.6606 eV per atom

Geometry as CIF:
```
data_YHgP2
_symmetry_space_group_name_H-M 'P 1'
_symmetry_Int_Tables_number 1
_symmetry_space_group_name_Hall 'P 1'
_cell_length_a 5.288
_cell_length_b 5.288
_cell_length_c 5.288
_cell_angle_alpha 131.67
_cell_angle_beta 131.51
_cell_angle_gamma 70.88
loop_
_atom_site_label
_atom_site_fract_x
_atom_site_fract_y
_atom_site_fract_z
_atom_site_occupancy
Y1 0.000 0.000 0.000 1
Hg1 0.500 0.500 0.000 1
P1 0.250 0.750 0.500 1
P2 0.750 0.250 0.500 1
```

=====

8.
Material: Y2HgP
Method: DFT, PBE-GGA
State: relaxed

Properties
* crystal system: orthorhombic
* DFT formation energy: -683 meV per atom
* E: -5.3433 eV per atom

Geometry as CIF:
```
data_Y2HgP
_symmetry_space_group_name_H-M 'P 1'
_symmetry_Int_Tables_number 1
_symmetry_space_group_name_Hall 'P 1'
_cell_length_a 5.475
_cell_length_b 5.475
_cell_length_c 5.475
_cell_angle_alpha 135.55
_cell_angle_beta 117.85
_cell_angle_gamma 79.57
loop_
_atom_site_label
_atom_site_fract_x
_atom_site_fract_y
_atom_site_fract_z
_atom_site_occupancy
Y1 0.223 0.223 0.000 1
Y2 0.777 0.777 0.000 1
Hg1 0.500 0.000 0.500 1
P1 0.000 0.500 0.500 1
```

=====

9.
Material: YHgP2
Method: DFT, PBE-GGA
State: relaxed

Properties
* crystal system: trigonal
* DFT formation energy: -346 meV per atom
* E: -4.7428 eV per atom

Geometry as CIF:
```
data_YHgP2
_symmetry_space_group_name_H-M 'P 1'
_symmetry_Int_Tables_number 1
_symmetry_space_group_name_Hall 'P 1'
_cell_length_a 6.481
_cell_length_b 6.481
_cell_length_c 6.481
_cell_angle_alpha 37.17
_cell_angle_beta 37.17
_cell_angle_gamma 37.17
loop_
_atom_site_label
_atom_site_fract_x
_atom_site_fract_y
_atom_site_fract_z
_atom_site_occupancy
Y1 0.000 0.000 0.000 1
Hg1 0.500 0.500 0.500 1
P1 0.251 0.251 0.251 1
P2 0.749 0.749 0.749 1
```

=====

10.
Material: YHgP
Method: DFT, PBE-GGA
State: relaxed

Properties
* crystal system: orthorhombic
* DFT formation energy: -512 meV per atom
* E: -4.5710 eV per atom

Geometry as CIF:
```
data_YHgP
_symmetry_space_group_name_H-M 'P 1'
_symmetry_Int_Tables_number 1
_symmetry_space_group_name_Hall 'P 1'
_cell_length_a 6.301
_cell_length_b 6.089
_cell_length_c 3.568
_cell_angle_alpha 76.55
_cell_angle_beta 70.04
_cell_angle_gamma 33.41
loop_
_atom_site_label
_atom_site_fract_x
_atom_site_fract_y
_atom_site_fract_z
_atom_site_occupancy
Y1 0.000 0.000 0.000 1
Hg1 0.296 0.296 0.704 1
P1 0.628 0.628 0.372 1
```

=====

11.
Material: Y2Hg2P
Method: DFT, PBE-GGA
State: relaxed

Properties
* crystal system: tetragonal
* DFT formation energy: -564 meV per atom
* E: -4.3523 eV per atom

Geometry as CIF:
```
data_Y2Hg2P
_symmetry_space_group_name_H-M 'P 1'
_symmetry_Int_Tables_number 1
_symmetry_space_group_name_Hall 'P 1'
_cell_length_a 7.436
_cell_length_b 7.436
_cell_length_c 4.852
_cell_angle_alpha 90.00
_cell_angle_beta 90.00
_cell_angle_gamma 90.00
loop_
_atom_site_label
_atom_site_fract_x
_atom_site_fract_y
_atom_site_fract_z
_atom_site_occupancy
Y1 0.174 0.326 0.000 1
Y2 0.326 0.826 0.000 1
Y3 0.674 0.174 0.000 1
Y4 0.826 0.674 0.000 1
Hg1 0.139 0.639 0.500 1
Hg2 0.361 0.139 0.500 1
Hg3 0.639 0.861 0.500 1
Hg4 0.861 0.361 0.500 1
P1 0.000 0.000 0.000 1
P2 0.500 0.500 0.000 1
```

=====

12.
Material: YHgP
Method: DFT, PBE-GGA
State: relaxed

Properties
* crystal system: hexagonal
* DFT formation energy: -611 meV per atom
* E: -4.6694 eV per atom

Geometry as CIF:
```
data_YHgP
_symmetry_space_group_name_H-M 'P 1'
_symmetry_Int_Tables_number 1
_symmetry_space_group_name_Hall 'P 1'
_cell_length_a 4.029
_cell_length_b 4.029
_cell_length_c 10.667
_cell_angle_alpha 90.00
_cell_angle_beta 90.00
_cell_angle_gamma 120.00
loop_
_atom_site_label
_atom_site_fract_x
_atom_site_fract_y
_atom_site_fract_z
_atom_site_occupancy
Y1 0.000 0.000 0.000 1
Y2 0.000 0.000 0.500 1
Hg1 0.333 0.667 0.286 1
Hg2 0.667 0.333 0.786 1
P1 0.333 0.667 0.633 1
P2 0.667 0.333 0.133 1
```

=====

> Look up the DFT formation energy of the fourth one.

-471 meV per atom

=====

> Look up the DFT formation energy of the sixth one.

68 meV per atom